The following is a PBE-GGA calculation of an optimized crystal structure of PrLuTh2, from Alexandria via LeMat-Bulk.

a = 5.145 Å, b = 5.022 Å, c = 5.022 Å
α = 90.00°, β = 90.00°, γ = 90.00°
Fractional positions:
Pr 0.500 0.000 0.000
Lu 0.500 0.500 0.500
Th 0.000 0.000 0.500
Th 0.000 0.500 0.000

Values from the calculation:
The calculation puts the density of states at the Fermi level at 1.577 states/eV/atom. The symmetry is P4/mmm, No. 123. The value obtained for the total moment is 0.000 μB/atom. Its formation energy from the elements is 0.069 eV per atom.